(a)
{
  "formula": "ZrTi3W",
  "functional": "PBE-GGA",
  "state": "optimized geometry",
  "lattice": [[-2.720, 0.726, -3.689], [-1.703, -4.297, 0.410], [-3.352, 1.595, 2.785]],
  "species": ["W", "Ti", "Ti", "Ti", "Zr"],
  "frac_coords": [[0.500, 0.500, 0.500], [0.000, 0.000, 0.500], [0.000, 0.500, 0.000], [0.500, 0.000, 0.000], [0.000, 0.000, 0.000]],
  "spacegroup": "Pm-3m (221)"
}


(b)
{
  "formula": "ZrTi3W",
  "functional": "PBE-GGA",
  "state": "optimized geometry",
  "lattice": [[-1.945, -4.589, -1.590], [4.362, -0.574, -3.676], [1.150, -2.653, 6.249]],
  "species": ["Zr", "W", "W", "Ti", "Ti", "Ti", "Zr", "Ti", "Ti", "Ti"],
  "frac_coords": [[0.750, 0.584, 0.169], [0.000, 0.000, 0.000], [0.500, 0.000, 0.000], [0.750, 0.094, 0.699], [0.250, 0.395, 0.301], [0.250, 0.815, 0.630], [0.250, 0.416, 0.831], [0.250, 0.906, 0.301], [0.750, 0.185, 0.370], [0.750, 0.605, 0.699]],
  "spacegroup": "Cmcm (63)"
}


(c)
{
  "formula": "ZrTi3W",
  "functional": "PBE-GGA",
  "state": "optimized geometry",
  "lattice": [[4.762, 0.000, 0.000], [0.000, 4.762, 0.000], [0.000, 0.000, 4.762]],
  "species": ["Ti", "Ti", "Ti", "W", "Zr"],
  "frac_coords": [[0.500, 0.000, 0.000], [0.000, 0.500, 0.000], [0.000, 0.000, 0.500], [0.000, 0.000, 0.000], [0.500, 0.500, 0.500]],
  "spacegroup": "Pm-3m (221)"
}


The least stable of them is (a).


(a)
{
  "formula": "ZrTiW3",
  "functional": "PBE-GGA",
  "state": "optimized geometry",
  "lattice": [[4.772, 0.000, 0.000], [0.000, 4.772, 0.000], [0.000, 0.000, 4.772]],
  "species": ["Ti", "Zr", "W", "W", "W"],
  "frac_coords": [[0.500, 0.500, 0.500], [0.000, 0.000, 0.000], [0.000, 0.000, 0.500], [0.000, 0.500, 0.000], [0.500, 0.000, 0.000]],
  "spacegroup": "Pm-3m (221)"
}


(b)
{
  "formula": "ZrTiW3",
  "functional": "PBE-GGA",
  "state": "optimized geometry",
  "lattice": [[4.622, 0.000, 0.000], [0.000, 4.622, 0.000], [0.000, 0.000, 4.622]],
  "species": ["W", "Ti", "W", "W", "Zr"],
  "frac_coords": [[0.000, 0.000, 0.500], [0.000, 0.000, 0.000], [0.500, 0.000, 0.000], [0.000, 0.500, 0.000], [0.500, 0.500, 0.500]],
  "spacegroup": "Pm-3m (221)"
}


The least stable of them is (a).


(a)
{
  "formula": "YTi",
  "functional": "PBE-GGA",
  "state": "optimized geometry",
  "lattice": [[5.875, 0.000, 0.000], [0.000, 5.875, 0.000], [0.000, 0.000, 5.989]],
  "species": ["Ti", "Ti", "Y", "Y", "Ti", "Ti", "Y", "Y"],
  "frac_coords": [[0.160, 0.160, 0.500], [0.840, 0.840, 0.500], [0.818, 0.818, 0.000], [0.682, 0.318, 0.500], [0.660, 0.340, 0.000], [0.340, 0.660, 0.000], [0.318, 0.682, 0.500], [0.182, 0.182, 0.000]],
  "spacegroup": "P4_2/mnm (136)"
}


(b)
{
  "formula": "YTi",
  "functional": "PBE-GGA",
  "state": "optimized geometry",
  "lattice": [[-6.569, -0.758, 1.311], [1.499, -4.100, 5.137], [0.220, 5.297, 4.164]],
  "species": ["Y", "Ti", "Y", "Y", "Ti", "Ti", "Y", "Ti"],
  "frac_coords": [[0.500, 0.500, 0.000], [0.250, 0.250, 0.250], [0.500, 0.000, 0.500], [0.000, 0.000, 0.000], [0.750, 0.250, 0.750], [0.750, 0.750, 0.250], [0.000, 0.500, 0.500], [0.250, 0.750, 0.750]],
  "spacegroup": "F-43m (216)"
}


(c)
{
  "formula": "YTi",
  "functional": "PBE-GGA",
  "state": "optimized geometry",
  "lattice": [[-7.992, 6.856, 2.357], [-4.675, -7.555, 6.123], [1.777, 1.127, 2.747]],
  "species": ["Y", "Y", "Y", "Y", "Ti", "Ti", "Y", "Ti", "Ti", "Ti", "Ti", "Ti", "Ti", "Y", "Y", "Y"],
  "frac_coords": [[0.855, 0.167, 0.000], [0.167, 0.145, 0.000], [0.645, 0.333, 0.500], [0.355, 0.667, 0.500], [0.632, 0.034, 0.500], [0.966, 0.632, 0.500], [0.145, 0.833, 0.000], [0.368, 0.966, 0.500], [0.034, 0.368, 0.500], [0.534, 0.868, 0.000], [0.868, 0.466, 0.000], [0.132, 0.534, 0.000], [0.466, 0.132, 0.000], [0.667, 0.645, 0.500], [0.333, 0.355, 0.500], [0.833, 0.855, 0.000]],
  "spacegroup": "I4/m (87)"
}


(d)
{
  "formula": "YTi",
  "functional": "PBE-GGA",
  "state": "optimized geometry",
  "lattice": [[-3.704, -9.811, -6.797], [1.346, -7.415, 9.969], [-2.914, 0.546, 0.800]],
  "species": ["Ti", "Y", "Ti", "Ti", "Y", "Y", "Y", "Ti", "Ti", "Ti", "Y", "Y", "Y", "Ti", "Y", "Ti"],
  "frac_coords": [[0.794, 0.667, 0.000], [0.176, 0.941, 0.500], [0.206, 0.333, 0.000], [0.333, 0.794, 0.000], [0.324, 0.559, 0.000], [0.824, 0.059, 0.500], [0.941, 0.824, 0.500], [0.833, 0.294, 0.500], [0.667, 0.206, 0.000], [0.294, 0.167, 0.500], [0.676, 0.441, 0.000], [0.441, 0.324, 0.000], [0.559, 0.676, 0.000], [0.167, 0.706, 0.500], [0.059, 0.176, 0.500], [0.706, 0.833, 0.500]],
  "spacegroup": "I4/m (87)"
}


The least stable of them is (b).


(a)
{
  "formula": "YTi",
  "functional": "PBE-GGA",
  "state": "optimized geometry",
  "lattice": [[-0.774, 3.575, 0.157], [-1.941, -0.554, 3.055], [3.006, 0.563, 2.012]],
  "species": ["Y", "Ti"],
  "frac_coords": [[0.000, 0.000, 0.000], [0.500, 0.500, 0.500]],
  "spacegroup": "Pm-3m (221)"
}


(b)
{
  "formula": "YTi",
  "functional": "PBE-GGA",
  "state": "optimized geometry",
  "lattice": [[10.920, 0.000, 0.000], [-5.460, 9.457, 0.000], [0.000, 0.000, 3.087]],
  "species": ["Ti", "Ti", "Y", "Y", "Y", "Y", "Y", "Ti", "Ti", "Ti", "Y", "Ti"],
  "frac_coords": [[0.601, 0.121, 0.250], [0.121, 0.520, 0.750], [0.758, 0.688, 0.250], [0.242, 0.312, 0.750], [0.312, 0.071, 0.250], [0.688, 0.929, 0.750], [0.929, 0.242, 0.250], [0.879, 0.480, 0.250], [0.480, 0.601, 0.750], [0.399, 0.879, 0.750], [0.071, 0.758, 0.750], [0.520, 0.399, 0.250]],
  "spacegroup": "P6_3/m (176)"
}


The least stable of them is (b).


(a)
{
  "formula": "YTi",
  "functional": "PBE-GGA",
  "state": "optimized geometry",
  "lattice": [[8.719, 0.000, 0.000], [0.000, 8.719, 0.000], [0.000, 0.000, 8.719]],
  "species": ["Ti", "Y", "Y", "Y", "Ti", "Ti", "Ti", "Y", "Ti", "Ti", "Y", "Ti", "Y", "Y", "Ti", "Y"],
  "frac_coords": [[0.398, 0.398, 0.602], [0.787, 0.787, 0.787], [0.713, 0.713, 0.287], [0.213, 0.787, 0.213], [0.898, 0.898, 0.102], [0.602, 0.398, 0.398], [0.602, 0.602, 0.602], [0.287, 0.713, 0.713], [0.102, 0.102, 0.102], [0.398, 0.602, 0.398], [0.213, 0.213, 0.787], [0.102, 0.898, 0.898], [0.713, 0.287, 0.713], [0.787, 0.213, 0.213], [0.898, 0.102, 0.898], [0.287, 0.287, 0.287]],
  "spacegroup": "I-43m (217)"
}


(b)
{
  "formula": "YTi",
  "functional": "PBE-GGA",
  "state": "optimized geometry",
  "lattice": [[13.624, 0.000, 0.000], [0.000, 3.391, 0.000], [0.000, 0.000, 6.529]],
  "species": ["Y", "Ti", "Y", "Ti", "Ti", "Ti", "Y", "Y", "Ti", "Y", "Ti", "Y"],
  "frac_coords": [[0.294, 0.000, 0.694], [0.500, 0.500, 0.891], [0.500, 0.500, 0.459], [0.400, 0.000, 0.133], [0.600, 0.000, 0.133], [0.100, 0.500, 0.633], [0.794, 0.500, 0.194], [0.206, 0.500, 0.194], [0.000, 0.000, 0.391], [0.706, 0.000, 0.694], [0.900, 0.500, 0.633], [0.000, 0.000, 0.959]],
  "spacegroup": "Imm2 (44)"
}


(c)
{
  "formula": "YTi",
  "functional": "PBE-GGA",
  "state": "optimized geometry",
  "lattice": [[-2.644, -2.991, -3.426], [2.685, -2.246, 3.927], [-4.687, 0.285, 3.368]],
  "species": ["Y", "Ti", "Ti", "Y"],
  "frac_coords": [[0.333, 0.667, 0.750], [0.333, 0.667, 0.250], [0.667, 0.333, 0.750], [0.667, 0.333, 0.250]],
  "spacegroup": "P6_3/mmc (194)"
}


The least stable of them is (c).


(a)
{
  "formula": "YTi",
  "functional": "PBE-GGA",
  "state": "optimized geometry",
  "lattice": [[9.491, 0.000, 0.000], [0.000, 15.170, 0.000], [0.000, 0.000, 5.605]],
  "species": ["Y", "Y", "Ti", "Ti", "Y", "Ti", "Ti", "Y", "Y", "Ti", "Ti", "Ti", "Ti", "Y", "Y", "Y", "Y", "Y", "Ti", "Y", "Y", "Ti", "Ti", "Y", "Y", "Y", "Ti", "Ti", "Y", "Ti", "Ti", "Ti"],
  "frac_coords": [[0.416, 0.250, 0.250], [0.166, 0.500, 0.000], [0.750, 0.678, 0.750], [0.750, 0.322, 0.250], [0.084, 0.750, 0.750], [0.500, 0.572, 0.000], [0.750, 0.822, 0.750], [0.916, 0.250, 0.750], [0.416, 0.750, 0.750], [0.250, 0.678, 0.250], [0.750, 0.178, 0.250], [0.250, 0.322, 0.750], [0.250, 0.178, 0.750], [0.834, 0.000, 0.500], [0.584, 0.250, 0.750], [0.666, 0.000, 0.000], [0.334, 0.500, 0.500], [0.834, 0.500, 0.000], [0.000, 0.928, 0.000], [0.666, 0.500, 0.500], [0.166, 0.000, 0.500], [0.000, 0.072, 0.000], [0.250, 0.822, 0.250], [0.334, 0.000, 0.000], [0.916, 0.750, 0.250], [0.584, 0.750, 0.250], [0.500, 0.072, 0.500], [0.000, 0.572, 0.500], [0.084, 0.250, 0.250], [0.500, 0.428, 0.000], [0.000, 0.428, 0.500], [0.500, 0.928, 0.500]],
  "spacegroup": "Fddd (70)"
}


(b)
{
  "formula": "YTi",
  "functional": "PBE-GGA",
  "state": "optimized geometry",
  "lattice": [[-2.023, -1.260, -5.425], [4.142, -4.730, -0.446], [-6.965, -6.486, 4.103]],
  "species": ["Ti", "Ti", "Y", "Y", "Y", "Y", "Ti", "Ti", "Y", "Y", "Ti", "Y", "Y", "Ti", "Ti", "Ti"],
  "frac_coords": [[0.812, 0.110, 0.000], [0.054, 0.306, 0.221], [0.713, 0.409, 0.510], [0.787, 0.591, 0.010], [0.213, 0.091, 0.490], [0.571, 0.155, 0.242], [0.188, 0.610, 0.500], [0.946, 0.806, 0.279], [0.071, 0.345, 0.758], [0.429, 0.655, 0.258], [0.312, 0.390, 0.000], [0.287, 0.909, 0.990], [0.929, 0.845, 0.742], [0.554, 0.194, 0.779], [0.446, 0.694, 0.721], [0.688, 0.890, 0.500]],
  "spacegroup": "P2_12_12_1 (19)"
}


The least stable of them is (a).


(a)
{
  "formula": "Y3Ti",
  "functional": "PBE-GGA",
  "state": "optimized geometry",
  "lattice": [[3.496, 0.000, 0.000], [0.000, 5.957, 0.000], [-1.748, -2.978, 5.448]],
  "species": ["Ti", "Y", "Y", "Y"],
  "frac_coords": [[0.000, 0.004, 0.000], [0.270, 0.615, 0.540], [0.500, 0.474, 0.000], [0.730, 0.075, 0.460]],
  "spacegroup": "Imm2 (44)"
}


(b)
{
  "formula": "Y3Ti",
  "functional": "PBE-GGA",
  "state": "optimized geometry",
  "lattice": [[3.488, 0.000, 0.000], [0.000, 5.386, 0.000], [0.000, 0.000, 6.036]],
  "species": ["Ti", "Y", "Y", "Y"],
  "frac_coords": [[0.000, 0.000, 0.007], [0.500, 0.000, 0.498], [0.500, 0.500, 0.842], [0.000, 0.500, 0.319]],
  "spacegroup": "Pmm2 (25)"
}


The least stable of them is (b).


(a)
{
  "formula": "YTiZn2",
  "functional": "PBE-GGA",
  "state": "optimized geometry",
  "lattice": [[2.937, -0.255, 3.759], [-1.551, -1.853, 4.121], [1.629, -4.241, 1.475]],
  "species": ["Ti", "Zn", "Zn", "Y"],
  "frac_coords": [[0.000, 0.000, 0.000], [0.750, 0.750, 0.750], [0.250, 0.250, 0.250], [0.500, 0.500, 0.500]],
  "spacegroup": "Fm-3m (225)"
}


(b)
{
  "formula": "YTiZn2",
  "functional": "PBE-GGA",
  "state": "optimized geometry",
  "lattice": [[-0.359, -4.333, -0.682], [4.129, -0.103, -1.519], [5.075, -3.864, 7.684]],
  "species": ["Zn", "Zn", "Zn", "Zn", "Ti", "Ti", "Y", "Y"],
  "frac_coords": [[0.375, 0.471, 0.750], [0.875, 0.779, 0.750], [0.529, 0.125, 0.250], [0.221, 0.625, 0.250], [0.250, 0.750, 0.500], [0.500, 0.500, 0.000], [0.750, 0.250, 0.500], [0.000, 0.000, 0.000]],
  "spacegroup": "I-42d (122)"
}


(c)
{
  "formula": "YTiZn2",
  "functional": "PBE-GGA",
  "state": "optimized geometry",
  "lattice": [[-2.214, 2.074, 1.424], [-1.562, -2.621, 1.388], [3.969, 0.510, 5.429]],
  "species": ["Zn", "Ti", "Zn", "Y"],
  "frac_coords": [[0.000, 0.000, 0.792], [0.500, 0.500, 0.000], [0.000, 0.000, 0.208], [0.500, 0.500, 0.500]],
  "spacegroup": "P4/mmm (123)"
}


(d)
{
  "formula": "YTiZn2",
  "functional": "PBE-GGA",
  "state": "optimized geometry",
  "lattice": [[-1.355, 0.819, -3.059], [-4.320, 0.103, 1.941], [0.553, 4.601, 0.987]],
  "species": ["Ti", "Zn", "Y", "Zn"],
  "frac_coords": [[0.500, 0.000, 0.000], [0.000, 0.000, 0.500], [0.500, 0.500, 0.500], [0.000, 0.500, 0.000]],
  "spacegroup": "P4/mmm (123)"
}


The least stable of them is (b).